<1>
Material: TbHoZnPt
Method: DFT, PBE
State: optimized geometry

Cell lengths 4.9820, 4.9820, 4.9820 Å; angles 60.00, 60.00, 60.00 degrees
With the nearest neighbours (Å) after each atom.
Positions (direct):
Zn  0.2500  0.2500  0.2500  4 Tb 3.05, 4 Ho 3.05
Tb  0.0000  0.0000  0.0000  4 Zn 3.05, 4 Pt 3.05
Ho  0.5000  0.5000  0.5000  4 Pt 3.05, 4 Zn 3.05
Pt  0.7500  0.7500  0.7500  4 Tb 3.05, 4 Ho 3.05

Computed properties:
total magnetization: 0.00 μB/f.u.
space-group type: F-43m

<2>
Material: TbHoZnPt
Method: DFT, PBE
State: optimized geometry

Cell lengths 3.5520, 3.5520, 6.9520 Å; angles 90.00, 90.00, 90.00 degrees
With the nearest neighbours (Å) after each atom.
Positions (direct):
Tb  0.0000  0.0000  0.8639  4 Pt 3.05, 4 Zn 3.10, 1 Ho 3.37
Ho  0.0000  0.0000  0.3492  4 Pt 3.00, 4 Zn 3.07
Zn  0.5000  0.5000  0.6026  4 Ho 3.07, 4 Tb 3.10, 1 Pt 3.41
Pt  0.5000  0.5000  0.1122  4 Ho 3.00, 4 Tb 3.05

Computed properties:
total magnetization: 0.00 μB/f.u.
space-group type: P4mm

Most stable: <2> (next structure +1.5 kJ/mol of atoms)

<1>
Material: Ho3Te2Pt
Method: DFT, PBE
State: optimized geometry

Cell lengths 4.2279, 6.0439, 7.8414 Å; angles 112.67, 90.00, 90.00 degrees
With the nearest neighbours (Å) after each atom.
Positions (direct):
Ho  0.5000  0.8762  0.7524  2 Pt 2.77, 2 Te 3.07
Ho  0.5000  0.1238  0.2476  2 Pt 2.77, 2 Te 3.07
Ho  0.0000  0.5000  0.0000  2 Pt 3.02, 4 Te 3.13
Te  0.5000  0.3407  0.6813  5 Ho 3.07-3.14
Te  0.5000  0.6593  0.3187  5 Ho 3.07-3.14
Pt  0.0000  0.0000  0.0000  6 Ho 2.77-3.02

Computed properties:
total magnetization: 0.00 μB/f.u.
space-group type: Cmmm

<2>
Material: Ho3Te2Pt
Method: DFT, PBE
State: optimized geometry

Cell lengths 7.4826, 7.4826, 13.3701 Å; angles 101.00, 101.00, 108.56 degrees
With the nearest neighbours (Å) after each atom.
Positions (direct):
Ho  0.1608  0.6927  0.8197  2 Pt 2.81-2.85, 1 Te 3.11
Ho  0.6589  0.1269  0.8197  2 Pt 2.81-2.85, 1 Te 3.11
Ho  0.0892  0.0573  0.6803  2 Pt 2.81-2.85, 1 Te 3.11
Ho  0.5911  0.6231  0.6803  2 Pt 2.81-2.85, 1 Te 3.11
Ho  0.0340  0.5340  0.5000  2 Pt 2.83, 2 Te 3.05
Ho  0.4660  0.9660  0.5000  2 Pt 2.83, 2 Te 3.05
Ho  0.3769  0.4089  0.3197  2 Pt 2.81-2.85, 1 Te 3.11
Ho  0.9427  0.9108  0.3197  2 Pt 2.81-2.85, 1 Te 3.11
Ho  0.8731  0.3411  0.1803  2 Pt 2.81-2.85, 1 Te 3.11
Ho  0.3073  0.8392  0.1803  2 Pt 2.81-2.85, 1 Te 3.11
Ho  0.2160  0.2160  0.0000  2 Pt 2.83, 2 Te 3.05
Ho  0.7840  0.7840  0.0000  2 Pt 2.83, 2 Te 3.05
Te  0.9948  0.4948  0.9897  6 Ho 3.05-3.18
Te  0.4211  0.4211  0.8422  6 Ho 3.11-3.25
Te  0.8289  0.3289  0.6578  6 Ho 3.11-3.25
Te  0.2552  0.2552  0.5103  6 Ho 3.05-3.18
Te  0.7448  0.7448  0.4897  6 Ho 3.05-3.18
Te  0.6711  0.1711  0.3422  6 Ho 3.11-3.25
Te  0.5789  0.5789  0.1578  6 Ho 3.11-3.25
Te  0.5052  0.0052  0.0103  6 Ho 3.05-3.18
Pt  0.9165  0.9165  0.8330  6 Ho 2.81-2.85
Pt  0.3335  0.8335  0.6670  6 Ho 2.81-2.85
Pt  0.1665  0.6665  0.3330  6 Ho 2.81-2.85
Pt  0.0835  0.0835  0.1670  6 Ho 2.81-2.85

Computed properties:
total magnetization: 0.00 μB/f.u.
space-group type: Fddd

Most stable: <2> (next structure +12.8 kJ/mol of atoms)

<1>
Material: Ho2TePt
Method: DFT, PBE
State: optimized geometry

Cell lengths 4.1294, 4.1294, 7.6684 Å; angles 89.95, 105.65, 120.04 degrees
With the nearest neighbours (Å) after each atom.
Positions (direct):
Ho  0.5259  0.2629  0.7888  3 Pt 2.84
Ho  0.4741  0.7372  0.2112  3 Pt 2.84
Te  0.0000  0.5000  0.5000  6 Ho 3.18
Pt  0.0000  0.0000  0.0000  6 Ho 2.84

Computed properties:
total magnetization: 0.00 μB/f.u.
space-group type: R-3m

<2>
Material: Ho2TePt
Method: DFT, PBE
State: optimized geometry

Cell lengths 4.1717, 4.1717, 7.6055 Å; angles 74.08, 74.08, 60.00 degrees
With the nearest neighbours (Å) after each atom.
Positions (direct):
Ho  0.0691  0.0691  0.7928  3 Pt 2.84
Ho  0.2647  0.2647  0.2058  3 Pt 2.83
Te  0.4999  0.4999  0.5003  6 Ho 3.20-3.21
Pt  0.6663  0.6663  0.0011  6 Ho 2.83-2.84

Computed properties:
total magnetization: 0.00 μB/f.u.
space-group type: R3m

Most stable: <2> (next structure +0.7 kJ/mol of atoms)

<1>
Material: HoTh2Pt
Method: DFT, PBE
State: optimized geometry

Cell lengths 3.7016, 3.7016, 8.1951 Å; angles 90.00, 90.00, 90.00 degrees
With the nearest neighbours (Å) after each atom.
Positions (direct):
Pt  0.5000  0.5000  0.0000  8 Th 3.11
Th  0.0000  0.0000  0.7940  4 Pt 3.11, 1 Th 3.38
Th  0.0000  0.0000  0.2060  4 Pt 3.11, 1 Th 3.38
Ho  0.5000  0.5000  0.5000  8 Th 3.56, 4 Ho 3.70

Computed properties:
total magnetization: 0.00 μB/f.u.
space-group type: P4/mmm

<2>
Material: HoTh2Pt
Method: DFT, PBE
State: optimized geometry

Cell lengths 3.7242, 3.7242, 10.7422 Å; angles 80.02, 80.02, 60.00 degrees
With the nearest neighbours (Å) after each atom.
Positions (direct):
Pt  0.5000  0.5000  0.5000  6 Th 2.91
Th  0.1046  0.1046  0.6861  3 Pt 2.91
Th  0.8954  0.8954  0.3139  3 Pt 2.91
Ho  0.0000  0.0000  0.0000  2 Th 3.30

Computed properties:
total magnetization: 0.00 μB/f.u.
space-group type: R-3m

Most stable: <1> (next structure +31.4 kJ/mol of atoms)

<1>
Material: Ho2TlPt
Method: DFT, PBE
State: optimized geometry

Cell lengths 3.5584, 3.5584, 7.6165 Å; angles 90.00, 90.00, 90.00 degrees
With the nearest neighbours (Å) after each atom.
Positions (direct):
Tl  0.5000  0.5000  0.5000  8 Ho 3.31, 4 Tl 3.56
Ho  0.0000  0.0000  0.7819  4 Pt 3.02, 4 Tl 3.31, 1 Ho 3.32
Ho  0.0000  0.0000  0.2181  4 Pt 3.02, 4 Tl 3.31, 1 Ho 3.32
Pt  0.5000  0.5000  0.0000  8 Ho 3.02

Computed properties:
total magnetization: 0.00 μB/f.u.
space-group type: P4/mmm

<2>
Material: Ho2TlPt
Method: DFT, PBE
State: optimized geometry

Cell lengths 3.9982, 3.9982, 8.3603 Å; angles 76.17, 76.17, 60.00 degrees
With the nearest neighbours (Å) after each atom.
Positions (direct):
Ho  0.0659  0.0659  0.8022  3 Pt 2.81
Ho  0.2680  0.2680  0.1961  3 Pt 2.78
Tl  0.5004  0.5004  0.4989  6 Ho 3.35-3.36
Pt  0.6657  0.6657  0.0028  6 Ho 2.78-2.81

Computed properties:
total magnetization: 0.00 μB/f.u.
space-group type: R3m

Most stable: <1> (next structure +7.6 kJ/mol of atoms)